A plane-wave DFT calculation with PBE was carried out for a geometry-optimized NdHfO3 structure.

Lattice parameters (Å, degrees): 4.1569 4.1059 4.1059 90.89 90.00 90.00
With the nearest neighbours (Å) after each atom.
Fractional positions:
Hf 0.0000 0.5169 0.5169  6 O 2.02-2.12
Nd 0.5000 0.9529 0.9529  5 O 2.48-2.59
O 0.0000 0.5850 0.0299  2 Hf 2.02-2.12
O 0.5000 0.5223 0.5223  2 Hf 2.08
O 0.0000 0.0299 0.5850  2 Hf 2.02-2.12

=====

A plane-wave DFT calculation with PBE was carried out for a geometry-optimized NaYFeS3 structure.

Lattice parameters (Å, degrees): 7.8304 3.8653 9.2923 90.00 103.21 90.00
With the nearest neighbours (Å) after each atom.
Fractional positions:
Fe 0.5724 0.2500 0.0892  4 S 2.28-2.37
Fe 0.4276 0.7500 0.9108  4 S 2.28-2.37
Na 0.2775 0.7500 0.2434  4 S 2.86-2.97
Na 0.7225 0.2500 0.7566  4 S 2.86-2.97
S 0.7229 0.7500 0.0379  3 Fe 2.34-2.37
S 0.5711 0.2500 0.3344  1 Fe 2.28
S 0.0650 0.2500 0.3466  3 Y 2.72, 2 Na 2.86
S 0.9350 0.7500 0.6534  3 Y 2.72, 2 Na 2.86
S 0.4289 0.7500 0.6656  1 Fe 2.28
S 0.2771 0.2500 0.9621  3 Fe 2.34-2.37
Y 0.8224 0.7500 0.3540  6 S 2.72-2.86
Y 0.1776 0.2500 0.6460  6 S 2.72-2.86

=====

A plane-wave DFT calculation with PBE was carried out for a geometry-optimized TbErAu4 structure.

Lattice parameters (Å, degrees): 3.7216 3.7216 9.0569 90.00 90.00 90.00
With the nearest neighbours (Å) after each atom.
Fractional positions:
Au 0.5000 0.5000 0.1669  1 Er 3.02, 5 Au 3.02-3.05, 4 Tb 3.03
Au 0.0000 0.0000 0.3372  5 Au 2.95-3.05, 4 Er 3.02, 1 Tb 3.05
Au 0.0000 0.0000 0.6628  5 Au 2.95-3.05, 4 Er 3.02, 1 Tb 3.05
Au 0.5000 0.5000 0.8331  1 Er 3.02, 5 Au 3.02-3.05, 4 Tb 3.03
Er 0.5000 0.5000 0.5000  10 Au 3.02
Tb 0.0000 0.0000 0.0000  10 Au 3.03-3.05

## Properties
E_form = -5.235 eV/f.u.

=====

A plane-wave DFT calculation with PBE was carried out for a geometry-optimized ScNi2Ag structure.

Lattice parameters (Å, degrees): 4.3901 4.3901 4.3901 60.00 60.00 60.00
With the nearest neighbours (Å) after each atom.
Fractional positions:
Ag 0.2500 0.2500 0.2500  4 Ni 2.69, 4 Sc 2.69
Ni 0.5000 0.5000 0.5000  4 Ag 2.69, 4 Ni 2.69
Ni 0.7500 0.7500 0.7500  4 Ni 2.69, 4 Sc 2.69
Sc 0.0000 0.0000 0.0000  4 Ni 2.69, 4 Ag 2.69

## Properties
E_form = -0.485 eV/f.u.

=====

A plane-wave DFT calculation with PBE was carried out for a geometry-optimized PrTeAs structure.

Lattice parameters (Å, degrees): 7.8580 4.2412 11.1632 90.00 90.00 90.00
With the nearest neighbours (Å) after each atom.
Fractional positions:
As 0.8093 0.2500 0.1983  1 Te 2.68
As 0.3093 0.2500 0.3017  1 Te 2.68
As 0.6907 0.7500 0.6983  1 Te 2.68
As 0.1907 0.7500 0.8017  1 Te 2.68
Pr 0.5234 0.7500 0.1814  4 As 3.02-3.09, 3 Te 3.31-3.32
Pr 0.0234 0.7500 0.3186  4 As 3.02-3.09, 3 Te 3.31-3.32
Pr 0.9766 0.2500 0.6814  4 As 3.02-3.09, 3 Te 3.31-3.32
Pr 0.4766 0.2500 0.8186  4 As 3.02-3.09, 3 Te 3.31-3.32
Te 0.2435 0.2500 0.0661  1 As 2.68
Te 0.7435 0.2500 0.4339  1 As 2.68
Te 0.2565 0.7500 0.5661  1 As 2.68
Te 0.7565 0.7500 0.9339  1 As 2.68

=====

A plane-wave DFT calculation with PBE was carried out for a geometry-optimized Tb2DyGa3CuNi2 structure.

Lattice parameters (Å, degrees): 3.7227 7.1430 7.1430 120.00 90.00 90.00
With the nearest neighbours (Å) after each atom.
Fractional positions:
Cu 0.0000 0.0004 0.0004  6 Ga 2.61
Dy 0.0000 0.4119 0.4119  4 Ni 2.85, 1 Cu 2.94, 6 Ga 3.01-3.17
Ga 0.5000 0.2560 0.0005  2 Cu 2.61, 2 Ni 2.70-2.71
Ga 0.5000 0.0005 0.2560  2 Cu 2.61, 2 Ni 2.70-2.71
Ga 0.5000 0.7436 0.7436  2 Cu 2.61, 2 Ni 2.70
Ni 0.5000 0.6663 0.3336  3 Ga 2.70-2.71, 2 Dy 2.85, 4 Tb 2.85
Ni 0.5000 0.3336 0.6663  3 Ga 2.70-2.71, 2 Dy 2.85, 4 Tb 2.85
Tb 0.0000 0.5878 0.0000  4 Ni 2.85, 1 Cu 2.95, 6 Ga 3.01-3.18
Tb 0.0000 0.0000 0.5878  4 Ni 2.85, 1 Cu 2.95, 6 Ga 3.01-3.18

=====

A plane-wave DFT calculation with PBE was carried out for a geometry-optimized Ho2TmSn3Pt3 structure.

Lattice parameters (Å, degrees): 3.9997 7.4806 7.4806 119.88 90.00 90.00
With the nearest neighbours (Å) after each atom.
Fractional positions:
Ho 0.0000 0.5943 0.0000  5 Pt 3.03-3.04, 6 Sn 3.21-3.34
Ho 0.0000 0.0000 0.5943  5 Pt 3.03-3.04, 6 Sn 3.21-3.34
Pt 0.0000 0.0012 0.0012  6 Sn 2.78-2.80, 1 Tm 3.03, 2 Ho 3.04
Pt 0.5000 0.6651 0.3338  3 Sn 2.80-2.83, 2 Tm 3.02, 4 Ho 3.03
Pt 0.5000 0.3338 0.6651  3 Sn 2.80-2.83, 2 Tm 3.02, 4 Ho 3.03
Sn 0.5000 0.2597 0.0005  4 Pt 2.78-2.83
Sn 0.5000 0.0005 0.2597  4 Pt 2.78-2.83
Sn 0.5000 0.7404 0.7404  4 Pt 2.80
Tm 0.0000 0.4051 0.4051  5 Pt 3.02-3.03, 6 Sn 3.21-3.33

=====

A plane-wave DFT calculation with PBE was carried out for a geometry-optimized BaLuW structure.

Lattice parameters (Å, degrees): 5.1673 5.1673 5.1673 60.00 60.00 60.00
With the nearest neighbours (Å) after each atom.
Fractional positions:
Ba 0.2500 0.2500 0.2500  4 Lu 3.16
Lu 0.0000 0.0000 0.0000  4 Ba 3.16, 4 W 3.16
W 0.7500 0.7500 0.7500  4 Lu 3.16

=====

A plane-wave DFT calculation with PBE was carried out for a geometry-optimized HoTaNO structure.

Lattice parameters (Å, degrees): 3.9931 3.9931 7.9174 90.00 90.00 90.00
With the nearest neighbours (Å) after each atom.
Fractional positions:
Ho 0.0000 0.5000 0.1272  4 O 2.24
Ho 0.5000 0.0000 0.8728  4 O 2.24
N 0.5000 0.0000 0.4158  4 Ta 2.10
N 0.0000 0.5000 0.5842  4 Ta 2.10
O 0.0000 0.0000 0.0000  4 Ho 2.24
O 0.5000 0.5000 0.0000  4 Ho 2.24
Ta 0.0000 0.0000 0.5000  4 N 2.10
Ta 0.5000 0.5000 0.5000  4 N 2.10

=====

A plane-wave DFT calculation with PBE was carried out for a geometry-optimized SrSi2AgPd structure.

Lattice parameters (Å, degrees): 5.9055 5.9055 5.9055 136.54 136.54 63.14
With the nearest neighbours (Å) after each atom.
Fractional positions:
Ag 0.2500 0.7500 0.5000  4 Si 2.56
Pd 0.7500 0.2500 0.5000  4 Si 2.56
Si 0.3823 0.3823 0.0000  1 Si 2.37, 2 Ag 2.56, 2 Pd 2.56
Si 0.6177 0.6177 0.0000  1 Si 2.37, 2 Ag 2.56, 2 Pd 2.56
Sr 0.0000 0.0000 0.0000  8 Si 3.31, 4 Ag 3.33, 4 Pd 3.33

=====

A plane-wave DFT calculation with PBE was carried out for a geometry-optimized Ho2TmSc3CuSe2 structure.

Lattice parameters (Å, degrees): 3.8106 7.7361 7.7361 120.06 90.00 90.00
With the nearest neighbours (Å) after each atom.
Fractional positions:
Cu 0.0000 0.0030 0.0030  6 Sc 2.68-2.70
Ho 0.0000 0.9996 0.5951  4 Se 3.03, 1 Cu 3.14, 6 Sc 3.31-3.33
Ho 0.0000 0.5951 0.9996  4 Se 3.03, 1 Cu 3.14, 6 Sc 3.31-3.33
Sc 0.5000 0.2458 0.0000  2 Cu 2.68, 2 Se 2.97-2.99
Sc 0.5000 0.0000 0.2458  2 Cu 2.68, 2 Se 2.97-2.99
Sc 0.5000 0.7547 0.7547  2 Cu 2.70, 2 Se 2.97
Se 0.5000 0.6655 0.3336  3 Sc 2.97-2.99, 2 Tm 3.02, 4 Ho 3.03
Se 0.5000 0.3336 0.6655  3 Sc 2.97-2.99, 2 Tm 3.02, 4 Ho 3.03
Tm 0.0000 0.4027 0.4027  4 Se 3.02, 1 Cu 3.09, 6 Sc 3.32

=====

A plane-wave DFT calculation with PBE was carried out for a geometry-optimized PrYNO structure.

Lattice parameters (Å, degrees): 4.4719 4.4719 8.5677 90.00 90.00 90.00
With the nearest neighbours (Å) after each atom.
Fractional positions:
N 0.7500 0.7500 0.4346  4 Y 2.31
N 0.2500 0.2500 0.5654  4 Y 2.31
O 0.7500 0.2500 0.0000  4 Pr 2.41
O 0.2500 0.7500 0.0000  4 Pr 2.41
Pr 0.2500 0.2500 0.1062  4 O 2.41
Pr 0.7500 0.7500 0.8938  4 O 2.41
Y 0.7500 0.2500 0.5000  4 N 2.31
Y 0.2500 0.7500 0.5000  4 N 2.31

=====

A plane-wave DFT calculation with PBE was carried out for a geometry-optimized CuTcHgOs structure.

Lattice parameters (Å, degrees): 4.4175 4.4175 4.4175 60.00 60.00 60.00
With the nearest neighbours (Å) after each atom.
Fractional positions:
Cu 0.7500 0.7500 0.7500  4 Tc 2.71, 4 Os 2.71
Hg 0.2500 0.2500 0.2500  4 Tc 2.71, 4 Os 2.71
Os 0.0000 0.0000 0.0000  4 Hg 2.71, 4 Cu 2.71
Tc 0.5000 0.5000 0.5000  4 Hg 2.71, 4 Cu 2.71

## Properties
E_form = 3.554 eV/f.u.

=====

| no. | calculated total energy (eV for the cell shown) |
| --- | --- |
| 1 | -44.78 |
| 2 | -72.25 |
| 3 | -27.49 |
| 4 | -20.77 |
| 5 | -61.96 |
| 6 | -43.08 |
| 7 | -53.65 |
| 8 | -14.25 |
| 9 | -73.45 |
| 10 | -23.02 |
| 11 | -50.07 |
| 12 | -62.99 |
| 13 | -22.05 |